The following is a PBE calculation of crystalline Pm2CdTe at its relaxed geometry, from Alexandria.

Summary:
Calculated volume = 126.6 Å³ per cell
E_tot = -0.151 hartree per atom
SG = R3m (160)
ΔE_f (raw) = -283 kJ/mol of formula units
Energy relative to the lowest polymorph listed for this composition = 62 meV per atom

Lattice parameters (Å, degrees): 4.157 4.157 8.797 76.33 76.33 60.00
Atoms (fractional coordinates):
Pm1 0.084 0.084 0.747
Pm2 0.249 0.249 0.253
Cd1 0.667 0.667 0.998
Te1 0.499 0.499 0.502